# 1
Density functional theory data (PBE) for LaPr4Dy5 after structural relaxation.

a = 3.642 Å, b = 7.251 Å, c = 13.107 Å
α = 97.96°, β = 97.97°, γ = 90.08°
Sites, in units of the cell vectors:
La: 0.000 0.000 0.000
Pr: 0.397 0.201 0.795
Pr: 0.398 0.696 0.795
Pr: 0.602 0.304 0.205
Pr: 0.603 0.799 0.205
Dy: 0.000 0.500 0.000
Dy: 0.202 0.101 0.404
Dy: 0.203 0.601 0.405
Dy: 0.797 0.399 0.595
Dy: 0.798 0.899 0.596

## Properties
The value obtained for the total magnetization is 0.00 μB/cell. Its space group is P-1, No. 2. The formation energy from the elements comes out at 0.18 eV per formula unit. Its calculated volume is 33.94 Å³ per atom.



# 2
Density functional theory data (PBE) for NaMgSnCl6 after structural relaxation.

a = 6.650 Å, b = 6.650 Å, c = 12.612 Å
α = 90.00°, β = 90.00°, γ = 120.00°
Sites, in units of the cell vectors:
Na: 0.000 0.000 0.000
Na: 0.000 0.000 0.500
Mg: 0.333 0.667 0.250
Mg: 0.667 0.333 0.750
Sn: 0.333 0.667 0.750
Sn: 0.667 0.333 0.250
Cl: 0.014 0.365 0.134
Cl: 0.014 0.649 0.366
Cl: 0.351 0.365 0.366
Cl: 0.351 0.986 0.134
Cl: 0.365 0.014 0.634
Cl: 0.365 0.351 0.866
Cl: 0.635 0.649 0.134
Cl: 0.635 0.986 0.366
Cl: 0.649 0.014 0.866
Cl: 0.649 0.635 0.634
Cl: 0.986 0.351 0.634
Cl: 0.986 0.635 0.866

## Properties
The value obtained for the total magnetization is 1.56 μB/cell. Its space group is P-31c, No. 163. Its calculated volume is 26.84 Å³ per atom. The formation energy (no corrections) comes out at -1393 meV per atom.



# 3
Density functional theory data (PBE) for BaSnSb6Rh2 after structural relaxation.

a = 11.915 Å, b = 11.915 Å, c = 11.915 Å
α = 28.88°, β = 28.88°, γ = 28.88°
Sites, in units of the cell vectors:
Ba: 0.000 0.000 0.000
Sn: 0.500 0.500 0.500
Sb: 0.135 0.760 0.382
Sb: 0.240 0.618 0.865
Sb: 0.382 0.135 0.760
Sb: 0.618 0.865 0.240
Sb: 0.760 0.382 0.135
Sb: 0.865 0.240 0.618
Rh: 0.275 0.275 0.275
Rh: 0.725 0.725 0.725

## Properties
The value obtained for the total magnetization is 0.00 μB/cell. Its space group is R-3, No. 148. Its calculated volume is 34.89 Å³ per atom. The formation energy (no corrections) comes out at 124 meV per atom.



# 4
Density functional theory data (PBE) for Ac7La2Pr2 after structural relaxation.

a = 10.153 Å, b = 10.153 Å, c = 10.153 Å
α = 145.29°, β = 64.71°, γ = 127.24°
Sites, in units of the cell vectors:
Ac: 0.000 0.000 0.000
Ac: 0.161 0.320 0.841
Ac: 0.173 0.533 0.640
Ac: 0.479 0.320 0.159
Ac: 0.487 0.119 0.368
Ac: 0.751 0.119 0.632
Ac: 0.893 0.533 0.360
La: 0.026 0.826 0.200
La: 0.626 0.826 0.800
Pr: 0.318 0.818 0.500
Pr: 0.594 0.594 0.000

## Properties
The value obtained for the total magnetization is 0.00 μB/cell. Its space group is Imm2, No. 44. Its excess energy over the best structure of this formula in the dataset is 0.0 kJ/mol of atoms. The formation energy from the elements comes out at 1.11 eV per formula unit. Its calculated volume is 42.61 Å³ per atom.



# 5
Density functional theory data (PBE) for NiPPdCl2 after structural relaxation.

a = 4.861 Å, b = 4.861 Å, c = 4.682 Å
α = 90.00°, β = 90.00°, γ = 90.00°
Sites, in units of the cell vectors:
Ni: 0.000 0.000 0.000
P: 0.500 0.500 0.000
Pd: 0.500 0.500 0.500
Cl: 0.000 0.500 0.500
Cl: 0.500 0.000 0.500

## Properties
The value obtained for the total magnetization is 0.76 μB/cell. Its space group is P4/mmm, No. 123. Its excess energy over the best structure of this formula in the dataset is 27.9 kJ/mol of atoms. Its calculated volume is 22.12 Å³ per atom. The formation energy (no corrections) comes out at 664 meV per atom.



# 6
Density functional theory data (PBE) for YMnTl2 after structural relaxation.

a = 3.533 Å, b = 4.654 Å, c = 6.338 Å
α = 90.00°, β = 106.03°, γ = 90.00°
Sites, in units of the cell vectors:
Y: 0.000 0.000 0.000
Mn: 0.598 0.500 0.199
Tl: 0.361 0.500 0.720
Tl: 0.733 0.000 0.466

## Properties
The value obtained for the total magnetization is 3.34 μB/cell. Its space group is Pm, No. 6. The formation energy from the elements comes out at 0.61 eV per formula unit. Its calculated volume is 25.04 Å³ per atom.



# 7
Density functional theory data (PBE) for La8Tb2Er3 after structural relaxation.

a = 10.998 Å, b = 10.998 Å, c = 5.813 Å
α = 90.03°, β = 90.03°, γ = 41.24°
Sites, in units of the cell vectors:
La: 0.095 0.696 0.000
La: 0.175 0.175 0.501
La: 0.304 0.905 0.000
La: 0.370 0.370 0.501
La: 0.630 0.630 0.499
La: 0.696 0.095 0.000
La: 0.825 0.825 0.499
La: 0.905 0.304 0.000
Tb: 0.261 0.261 0.001
Tb: 0.739 0.739 0.999
Er: 0.217 0.783 0.500
Er: 0.500 0.500 0.000
Er: 0.783 0.217 0.500

## Properties
The value obtained for the total magnetization is 0.00 μB/cell. Its space group is C2/m, No. 12. Its excess energy over the best structure of this formula in the dataset is 3.5 kJ/mol of atoms. The formation energy from the elements comes out at 2.30 eV per formula unit. Its calculated volume is 35.66 Å³ per atom.



# 8
Density functional theory data (PBE) for Hg2OsPb after structural relaxation.

a = 3.330 Å, b = 5.061 Å, c = 5.482 Å
α = 90.00°, β = 106.15°, γ = 90.00°
Sites, in units of the cell vectors:
Hg: 0.146 0.000 0.273
Hg: 0.854 0.000 0.727
Os: 0.500 0.500 0.500
Pb: 0.500 0.500 0.000

## Properties
The value obtained for the total magnetization is 0.40 μB/cell. Its space group is P2/m, No. 10. The formation energy from the elements comes out at 3.14 eV per formula unit. Its calculated volume is 22.19 Å³ per atom.



# 9
Density functional theory data (PBE) for Hf2Nb2S after structural relaxation.

a = 6.532 Å, b = 6.532 Å, c = 4.907 Å
α = 90.00°, β = 90.00°, γ = 90.00°
Sites, in units of the cell vectors:
Hf: 0.163 0.337 0.000
Hf: 0.337 0.837 0.000
Hf: 0.663 0.163 0.000
Hf: 0.837 0.663 0.000
Nb: 0.130 0.630 0.500
Nb: 0.370 0.130 0.500
Nb: 0.630 0.870 0.500
Nb: 0.870 0.370 0.500
S: 0.000 0.000 0.000
S: 0.500 0.500 0.000

## Properties
The value obtained for the total magnetization is 0.00 μB/cell. Its space group is P4/mbm, No. 127. Its excess energy over the best structure of this formula in the dataset is 0.0 kJ/mol of atoms. Its calculated volume is 20.94 Å³ per atom. The formation energy (no corrections) comes out at 55 meV per atom.



# 10
Density functional theory data (PBE) for AcSmEr2Se4 after structural relaxation.

a = 7.100 Å, b = 4.082 Å, c = 7.524 Å
α = 90.00°, β = 108.25°, γ = 90.00°
Sites, in units of the cell vectors:
Ac: 0.000 0.000 0.000
Sm: 0.500 0.500 0.000
Er: 0.000 0.500 0.500
Er: 0.500 0.000 0.500
Se: 0.250 0.000 0.729
Se: 0.266 0.500 0.277
Se: 0.734 0.500 0.723
Se: 0.750 0.000 0.271

## Properties
The value obtained for the total magnetization is 0.00 μB/cell. Its space group is P2/m, No. 10. Its calculated volume is 25.88 Å³ per atom. The formation energy (no corrections) comes out at -1754 meV per atom.



# 11
Density functional theory data (PBE) for HfMoSCl2 after structural relaxation.

a = 4.775 Å, b = 4.775 Å, c = 4.726 Å
α = 90.00°, β = 90.00°, γ = 90.00°
Sites, in units of the cell vectors:
Hf: 0.000 0.000 0.000
Mo: 0.500 0.500 0.500
S: 0.500 0.500 0.000
Cl: 0.000 0.500 0.500
Cl: 0.500 0.000 0.500

## Properties
The value obtained for the total magnetization is 2.15 μB/cell. Its space group is P4/mmm, No. 123. Its excess energy over the best structure of this formula in the dataset is 46.5 kJ/mol of atoms. Its calculated volume is 21.55 Å³ per atom. The formation energy (no corrections) comes out at 390 meV per atom.



# 12
Density functional theory data (PBE) for Zr2PtCl after structural relaxation.

a = 4.839 Å, b = 4.839 Å, c = 4.839 Å
α = 60.00°, β = 60.00°, γ = 60.00°
Sites, in units of the cell vectors:
Zr: 0.000 0.000 0.000
Zr: 0.250 0.250 0.250
Pt: 0.750 0.750 0.750
Cl: 0.500 0.500 0.500

## Properties
The value obtained for the total magnetization is 1.86 μB/cell. Its space group is F-43m, No. 216. Its excess energy over the best structure of this formula in the dataset is 102.8 kJ/mol of atoms. Its calculated volume is 20.03 Å³ per atom. The formation energy (no corrections) comes out at 182 meV per atom.



Question: Look up the total magnetization of the first one.
Answer: 0.00 μB/cell



Please write out number 8 again, unchanged.
Density functional theory data (PBE) for Hg2OsPb after structural relaxation.

a = 3.330 Å, b = 5.061 Å, c = 5.482 Å
α = 90.00°, β = 106.15°, γ = 90.00°
Sites, in units of the cell vectors:
Hg: 0.146 0.000 0.273
Hg: 0.854 0.000 0.727
Os: 0.500 0.500 0.500
Pb: 0.500 0.500 0.000

## Properties
The value obtained for the total magnetization is 0.40 μB/cell. Its space group is P2/m, No. 10. The formation energy from the elements comes out at 3.14 eV per formula unit. Its calculated volume is 22.19 Å³ per atom.



Question: total magnetization of number 2 (NaMgSnCl6)?
Answer: 1.56 μB/cell